Record 1
First-principles (PBE) data for Pm2Te4Au after structural relaxation, as listed in Alexandria.

abc: 7.491 6.282 9.585
angles: 90.00 102.73 90.00
Space group P2_1/m (No. 11)
Unique sites:
Pm1 0.195 0.250 0.380
Pm2 0.235 0.250 0.940
Te1 0.035 0.750 0.376
Te2 0.092 0.750 0.904
Te3 0.460 0.509 0.214
Au1 0.347 0.750 0.571

## Properties
The calculation puts the magnetic moment at 0.00 μB/cell. The calculation puts the offset from the most stable computed form at 0.09 eV per formula unit. The uncorrected formation energy is -973 meV/atom.

Record 2
First-principles (PBE) data for PmTlTe2Au after structural relaxation, as listed in Alexandria.

abc: 8.716 4.941 8.164
angles: 90.00 99.74 90.00
Space group P2/c (No. 13)
Unique sites:
Pm1 0.000 0.001 0.250
Tl1 0.500 0.317 0.250
Te1 0.260 0.193 0.549
Au1 0.000 0.500 0.000

## Properties
The calculation puts the magnetic moment at 0.00 μB/cell. The uncorrected formation energy is -637 meV/atom.

Record 3
First-principles (PBE) data for PmTlTeAu after structural relaxation, as listed in Alexandria.

abc: 7.574 7.574 7.574
angles: 90.00 90.00 90.00
Space group F-43m (No. 216)
Unique sites:
Pm1 0.000 0.000 0.000
Tl1 0.000 0.000 0.500
Te1 0.250 0.250 0.750
Au1 0.250 0.250 0.250

## Properties
The calculation puts the magnetic moment at 0.00 μB/cell. The uncorrected formation energy is -593 meV/atom.

Record 4
First-principles (PBE) data for Pm5ThAu6 after structural relaxation, as listed in Alexandria.

abc: 5.259 7.331 15.738
angles: 90.00 90.00 90.00
Space group Immm (No. 71)
Unique sites:
Pm1 0.000 0.000 0.000
Pm2 0.000 0.000 0.329
Pm3 0.000 0.500 0.335
Th1 0.000 0.500 0.000
Au1 0.000 0.241 0.500
Au2 0.000 0.254 0.165

## Properties
As for the energy of formation: -17.115 kcal/mol of atoms. The calculation puts the magnetic moment at 0.00 μB/cell.

Record 5
First-principles (PBE) data for Pm2ThAu after structural relaxation, as listed in Alexandria.

abc: 3.690 3.690 8.459
angles: 90.00 90.00 90.00
Space group P4/mmm (No. 123)
Unique sites:
Pm1 0.000 0.000 0.216
Th1 0.500 0.500 0.500
Au1 0.500 0.500 0.000

## Properties
As for the energy of formation: -8.668 kcal/mol of atoms. The calculation puts the magnetic moment at 0.00 μB/cell. The calculation puts the offset from the most stable computed form at 0.00 eV per formula unit.

Record 6
First-principles (PBE) data for Pm2ThAu after structural relaxation, as listed in Alexandria.

abc: 3.7064 3.7064 30.9218
angles: 90.00 90.00 120.00
Space group R3m (No. 160, hexagonal axes)
Unique sites:
Pm1 0.0000 0.0000 0.0000
Pm2 0.0000 0.0000 0.1907
Th1 0.0000 0.0000 0.7618
Au1 0.0000 0.0000 0.5954

## Properties
As for the energy of formation: -4.643 kcal/mol of atoms. The calculation puts the magnetic moment at 0.00 μB/cell. The calculation puts the offset from the most stable computed form at 0.70 eV per formula unit.

Record 7
First-principles (PBE) data for PmThAu after structural relaxation, as listed in Alexandria.

abc: 4.8945 4.8945 26.8660
angles: 90.00 90.00 120.00
Space group R-3m (No. 166, hexagonal axes)
Unique sites:
Pm1 0.0000 0.0000 0.1251
Th1 0.0000 0.0000 0.3681
Au1 0.0000 0.0000 0.2464

## Properties
As for the energy of formation: -5.298 kcal/mol of atoms. The calculation puts the magnetic moment at 0.00 μB/cell. The calculation puts the offset from the most stable computed form at 0.54 eV per formula unit.

Record 8
First-principles (PBE) data for Pm2ThAu after structural relaxation, as listed in Alexandria.

abc: 5.591 5.591 3.623
angles: 90.00 90.00 90.00
Space group P4/mmm (No. 123)
Unique sites:
Pm1 0.000 0.500 0.000
Th1 0.000 0.000 0.500
Au1 0.500 0.500 0.500

## Properties
As for the energy of formation: -4.131 kcal/mol of atoms. The calculation puts the magnetic moment at 0.00 μB/cell. The calculation puts the offset from the most stable computed form at 0.79 eV per formula unit.

Record 9
First-principles (PBE) data for PmTh3Au7 after structural relaxation, as listed in Alexandria.

abc: 3.843 22.765 12.664
angles: 90.00 90.00 90.00
Space group Cmcm (No. 63)
Unique sites:
Pm1 0.000 0.011 0.250
Th1 0.000 0.143 0.567
Th2 0.000 0.196 0.250
Au1 0.000 0.277 0.570
Au2 0.000 0.382 0.250
Au3 0.000 0.400 0.634
Au4 0.000 0.462 0.078

## Properties
As for the energy of formation: -14.269 kcal/mol of atoms. The calculation puts the magnetic moment at 0.00 μB/cell.

Record 10
First-principles (PBE) data for PmThAu3 after structural relaxation, as listed in Alexandria.

abc: 3.682 28.535 4.701
angles: 90.00 90.00 90.00
Space group Cmcm (No. 63)
Unique sites:
Pm1 0.000 0.071 0.250
Th1 0.000 0.206 0.750
Au1 0.000 0.321 0.750
Au2 0.000 0.380 0.250
Au3 0.000 0.476 0.250

## Properties
As for the energy of formation: -16.326 kcal/mol of atoms. The calculation puts the magnetic moment at 0.00 μB/cell. The calculation puts the offset from the most stable computed form at 0.00 eV per formula unit.

Record 11
First-principles (PBE) data for PmThAu after structural relaxation, as listed in Alexandria.

abc: 7.211 7.211 7.211
angles: 90.00 90.00 90.00
Space group F-43m (No. 216)
Unique sites:
Pm1 0.000 0.000 0.000
Th1 0.000 0.000 0.500
Au1 0.250 0.250 0.250

## Properties
As for the energy of formation: -4.467 kcal/mol of atoms. The calculation puts the magnetic moment at 0.03 μB/cell. The calculation puts the offset from the most stable computed form at 0.64 eV per formula unit.

Record 12
First-principles (PBE) data for PmThAu after structural relaxation, as listed in Alexandria.

abc: 3.713 3.713 12.399
angles: 90.00 90.00 90.00
Space group I4mm (No. 107)
Unique sites:
Pm1 0.000 0.000 0.000
Th1 0.000 0.000 0.700
Au1 0.000 0.000 0.346

## Properties
As for the energy of formation: -9.425 kcal/mol of atoms. The calculation puts the magnetic moment at 0.00 μB/cell. The calculation puts the offset from the most stable computed form at 0.00 eV per formula unit.

magnetic moment of number 7 (PmThAu)?
0.00 μB/cell